Below is a relaxed SrSc2Co crystal, with properties calculated at the PBE level.

## Properties
For the energy relative to the elements, the calculation gives 9.0 kJ/mol of atoms. Its crystal system is tetragonal. As for the space group: No. 99.

Unit cell a=3.589 b=3.589 c=7.955 alpha=90.00 beta=90.00 gamma=90.00
Sites, in units of the cell vectors:
Sr 0.000 0.000 0.000
Sc 0.000 0.000 0.402
Sc 0.500 0.500 0.640
Co 0.500 0.500 0.322

Below is a relaxed Sr2ScCo crystal, with properties calculated at the PBE level.

## Properties
For the energy relative to the elements, the calculation gives 61.9 kJ/mol of atoms. Its crystal system is tetragonal. As for the space group: No. 119.

Unit cell a=5.351 b=5.351 c=7.609 alpha=90.00 beta=90.00 gamma=90.00
Sites, in units of the cell vectors:
Sr 0.000 0.000 0.000
Sr 0.000 0.500 0.250
Sr 0.500 0.000 0.750
Sr 0.500 0.500 0.500
Sc 0.000 0.000 0.500
Sc 0.500 0.500 0.000
Co 0.000 0.500 0.750
Co 0.500 0.000 0.250

Below is a relaxed SrSc2Co crystal, with properties calculated at the PBE level.

## Properties
For the energy relative to the elements, the calculation gives 55.7 kJ/mol of atoms. Its crystal system is monoclinic. As for the space group: No. 12.

Unit cell a=6.177 b=10.810 c=3.260 alpha=90.00 beta=118.53 gamma=90.00
Sites, in units of the cell vectors:
Sr 0.000 0.000 0.000
Sr 0.500 0.500 0.000
Sc 0.250 0.250 0.500
Sc 0.250 0.750 0.500
Sc 0.750 0.250 0.500
Sc 0.750 0.750 0.500
Co 0.000 0.500 0.000
Co 0.500 0.000 0.000

Below is a relaxed SrScCo2 crystal, with properties calculated at the PBE level.

## Properties
For the energy relative to the elements, the calculation gives 59.0 kJ/mol of atoms. Its crystal system is cubic. As for the space group: No. 216.

Unit cell a=6.623 b=6.623 c=6.623 alpha=90.00 beta=90.00 gamma=90.00
Sites, in units of the cell vectors:
Sr 0.000 0.000 0.000
Sr 0.000 0.500 0.500
Sr 0.500 0.000 0.500
Sr 0.500 0.500 0.000
Sc 0.250 0.250 0.750
Sc 0.250 0.750 0.250
Sc 0.750 0.250 0.250
Sc 0.750 0.750 0.750
Co 0.000 0.000 0.500
Co 0.000 0.500 0.000
Co 0.250 0.250 0.250
Co 0.250 0.750 0.750
Co 0.500 0.000 0.000
Co 0.500 0.500 0.500
Co 0.750 0.250 0.750
Co 0.750 0.750 0.250

Below is a relaxed SrSc2Co crystal, with properties calculated at the PBE level.

## Properties
For the energy relative to the elements, the calculation gives 0.6 kJ/mol of atoms. Its crystal system is monoclinic. As for the space group: No. 10.

Unit cell a=3.264 b=3.267 c=9.172 alpha=90.00 beta=90.11 gamma=90.00
Sites, in units of the cell vectors:
Sr 0.000 0.000 0.000
Sc 0.499 0.500 0.340
Sc 0.501 0.500 0.660
Co 0.000 0.000 0.500

Below is a relaxed SrScTl2Co crystal, with properties calculated at the PBE level.

## Properties
For the energy relative to the elements, the calculation gives 25.6 kJ/mol of atoms. Its crystal system is tetragonal. As for the space group: No. 123.

Unit cell a=5.676 b=5.676 c=4.512 alpha=90.00 beta=90.00 gamma=90.00
Sites, in units of the cell vectors:
Sr 0.000 0.000 0.000
Sc 0.500 0.500 0.500
Tl 0.000 0.500 0.500
Tl 0.500 0.000 0.500
Co 0.500 0.500 0.000

Below is a relaxed SrYSc2Co crystal, with properties calculated at the PBE level.

## Properties
For the energy relative to the elements, the calculation gives -1.7 kJ/mol of atoms. Its crystal system is tetragonal. As for the space group: No. 123.

Unit cell a=5.101 b=5.101 c=5.305 alpha=90.00 beta=90.00 gamma=90.00
Sites, in units of the cell vectors:
Sr 0.000 0.000 0.000
Y 0.500 0.500 0.000
Sc 0.000 0.500 0.500
Sc 0.500 0.000 0.500
Co 0.500 0.500 0.500

Below is a relaxed SrY2ScCo crystal, with properties calculated at the PBE level.

## Properties
For the energy relative to the elements, the calculation gives -2.0 kJ/mol of atoms. Its crystal system is tetragonal. As for the space group: No. 123.

Unit cell a=5.396 b=5.396 c=5.080 alpha=90.00 beta=90.00 gamma=90.00
Sites, in units of the cell vectors:
Sr 0.000 0.000 0.000
Y 0.000 0.500 0.500
Y 0.500 0.000 0.500
Sc 0.500 0.500 0.000
Co 0.500 0.500 0.500

Below is a relaxed SrScZn2Co crystal, with properties calculated at the PBE level.

## Properties
For the energy relative to the elements, the calculation gives -12.1 kJ/mol of atoms. Its crystal system is tetragonal. As for the space group: No. 123.

Unit cell a=4.877 b=4.877 c=4.521 alpha=90.00 beta=90.00 gamma=90.00
Sites, in units of the cell vectors:
Sr 0.000 0.000 0.000
Sc 0.500 0.500 0.000
Zn 0.000 0.500 0.500
Zn 0.500 0.000 0.500
Co 0.500 0.500 0.500

Below is a relaxed Sc2Ta2Co crystal, with properties calculated at the PBE level.

## Properties
For the energy relative to the elements, the calculation gives 15.5 kJ/mol of atoms. Its crystal system is tetragonal. As for the space group: No. 127.

Unit cell a=6.366 b=6.366 c=4.790 alpha=90.00 beta=90.00 gamma=90.00
Sites, in units of the cell vectors:
Sc 0.162 0.338 0.000
Sc 0.338 0.838 0.000
Sc 0.662 0.162 0.000
Sc 0.838 0.662 0.000
Ta 0.152 0.652 0.500
Ta 0.348 0.152 0.500
Ta 0.652 0.848 0.500
Ta 0.848 0.348 0.500
Co 0.000 0.000 0.500
Co 0.500 0.500 0.500

Below is a relaxed Sc2TaCo3 crystal, with properties calculated at the PBE level.

## Properties
For the energy relative to the elements, the calculation gives -30.0 kJ/mol of atoms. Its crystal system is orthorhombic. As for the space group: No. 59.

Unit cell a=4.415 b=13.377 c=3.060 alpha=90.00 beta=90.00 gamma=90.00
Sites, in units of the cell vectors:
Sc 0.250 0.082 0.001
Sc 0.250 0.418 0.001
Sc 0.750 0.582 0.999
Sc 0.750 0.918 0.999
Ta 0.250 0.750 0.999
Ta 0.750 0.250 0.001
Co 0.250 0.250 0.501
Co 0.250 0.599 0.499
Co 0.250 0.901 0.499
Co 0.750 0.099 0.501
Co 0.750 0.401 0.501
Co 0.750 0.750 0.499

Below is a relaxed ScTa4Co crystal, with properties calculated at the PBE level.

## Properties
For the energy relative to the elements, the calculation gives 41.8 kJ/mol of atoms. Its crystal system is cubic. As for the space group: No. 216.

Unit cell a=5.456 b=5.456 c=5.456 alpha=60.00 beta=60.00 gamma=60.00
Sites, in units of the cell vectors:
Sc 0.000 0.000 0.000
Ta 0.122 0.626 0.626
Ta 0.626 0.122 0.626
Ta 0.626 0.626 0.122
Ta 0.626 0.626 0.626
Co 0.250 0.250 0.250

Below is a relaxed Sc4TaCo5 crystal, with properties calculated at the PBE level.

## Properties
For the energy relative to the elements, the calculation gives -31.8 kJ/mol of atoms. Its crystal system is tetragonal. As for the space group: No. 123.

Unit cell a=3.117 b=3.117 c=15.618 alpha=90.00 beta=90.00 gamma=90.00
Sites, in units of the cell vectors:
Sc 0.000 0.000 0.100
Sc 0.000 0.000 0.299
Sc 0.000 0.000 0.701
Sc 0.000 0.000 0.900
Ta 0.000 0.000 0.500
Co 0.500 0.500 0.000
Co 0.500 0.500 0.203
Co 0.500 0.500 0.412
Co 0.500 0.500 0.588
Co 0.500 0.500 0.797

Below is a relaxed ScTaCo crystal, with properties calculated at the PBE level.

## Properties
For the energy relative to the elements, the calculation gives -9.2 kJ/mol of atoms. Its crystal system is tetragonal. As for the space group: No. 107.

Unit cell a=3.103 b=3.103 c=10.362 alpha=90.00 beta=90.00 gamma=90.00
Sites, in units of the cell vectors:
Sc 0.000 0.000 0.000
Sc 0.500 0.500 0.500
Ta 0.000 0.000 0.303
Ta 0.500 0.500 0.803
Co 0.000 0.000 0.669
Co 0.500 0.500 0.169

Below is a relaxed ScTaCo crystal, with properties calculated at the PBE level.

## Properties
For the energy relative to the elements, the calculation gives 12.4 kJ/mol of atoms. Its crystal system is cubic. As for the space group: No. 216.

Unit cell a=6.028 b=6.028 c=6.028 alpha=90.00 beta=90.00 gamma=90.00
Sites, in units of the cell vectors:
Sc 0.000 0.000 0.000
Sc 0.000 0.500 0.500
Sc 0.500 0.000 0.500
Sc 0.500 0.500 0.000
Ta 0.000 0.000 0.500
Ta 0.000 0.500 0.000
Ta 0.500 0.000 0.000
Ta 0.500 0.500 0.500
Co 0.250 0.250 0.250
Co 0.250 0.750 0.750
Co 0.750 0.250 0.750
Co 0.750 0.750 0.250